Density functional theory data (PBE) for Rb3NbCd2O6 after structural relaxation.

Calculated values
Final energy   -5.318 eV per atom
Raw formation energy   -1606 meV per atom

Unit cell a=5.930 b=10.323 c=6.711 alpha=90.00 beta=106.69 gamma=90.00
Space group C2/m (No. 12)
Unique sites:
Rb  0.000  0.000  0.000 [2 per cell]
Rb  0.000  0.327  0.000 [4 per cell]
Nb  0.000  0.500  0.500 [2 per cell]
Cd  0.000  0.166  0.500 [4 per cell]
O  0.205  0.356  0.677 [8 per cell]
O  0.226  0.500  0.317 [4 per cell]